No. 1
SrUMo4O16: optimized geometry, PBE with a Hubbard U.

```
SrUMo4O16
1.0
-5.146 -3.972 2.131
5.300 -6.827 0.072
8.068 -4.453 11.179
O U Mo Sr
32 2 8 2
direct
0.151 0.819 0.430
0.411 0.360 0.884
0.153 0.900 0.597
0.849 0.181 0.570
0.949 0.000 0.250
0.849 0.819 0.930
0.411 0.640 0.616
0.412 0.127 0.632
0.142 0.311 0.441
0.850 0.399 0.099
0.150 0.601 0.901
0.072 0.500 0.750
0.690 0.792 0.747
0.847 0.900 0.097
0.150 0.399 0.599
0.153 0.100 0.903
0.412 0.873 0.868
0.858 0.689 0.559
0.588 0.873 0.368
0.151 0.181 0.070
0.310 0.208 0.253
0.690 0.208 0.753
0.051 0.000 0.750
0.588 0.127 0.132
0.850 0.601 0.401
0.847 0.100 0.403
0.589 0.640 0.116
0.310 0.792 0.247
0.142 0.689 0.059
0.589 0.360 0.384
0.858 0.311 0.941
0.928 0.500 0.250
0.310 0.000 0.250
0.690 0.000 0.750
0.160 0.798 0.904
0.840 0.798 0.404
0.160 0.202 0.596
0.836 0.298 0.406
0.836 0.702 0.094
0.164 0.702 0.594
0.840 0.202 0.096
0.164 0.298 0.906
0.308 0.500 0.250
0.692 0.500 0.750
```

space-group type	No. 13
crystal system	monoclinic
total moment	0.00	μB per formula unit
D(E_F)	0.000	states/eV/atom
electronic total energy	-330.702	eV for the cell shown

***

No. 2
SrVMo2O8: optimized geometry, PBE with a Hubbard U.

```
SrVMo2O8
1.0
-4.352 -3.834 -0.711
5.480 -1.900 0.713
-0.939 -0.183 6.737
O Mo V Sr
8 2 1 1
direct
0.162 0.838 0.804
0.838 0.162 0.196
0.333 0.667 0.468
0.838 0.676 0.196
0.324 0.162 0.196
0.676 0.838 0.804
0.162 0.324 0.804
0.667 0.333 0.532
0.667 0.333 0.272
0.333 0.667 0.728
0.000 0.000 0.000
0.000 0.000 0.500
```

space-group type	No. 164
crystal system	trigonal
total moment	3.00	μB per formula unit
electronic total energy	-86.597	eV for the cell shown

***

No. 3
SrVMoO6: optimized geometry, PBE with a Hubbard U.

```
SrVMoO6
1.0
-1.010 1.898 -4.831
3.257 -0.857 -3.974
-2.748 -4.459 -1.322
Mo O V Sr
1 6 1 1
direct
0.342 0.333 0.525
0.604 0.013 0.291
0.382 0.998 0.701
0.620 0.374 0.703
0.998 0.386 0.300
0.380 0.618 0.299
0.000 0.626 0.698
0.671 0.656 0.473
0.003 0.996 0.009
```

space-group type	No. 1
crystal system	triclinic
total moment	1.00	μB per formula unit
electronic total energy	-65.136	eV for the cell shown

***

No. 4
Sr3V2MoO8: optimized geometry, PBE with a Hubbard U.

```
Sr3V2MoO8
1.0
5.760 0.000 0.000
-2.880 4.988 0.000
0.000 0.000 7.295
O Sr V Mo
8 3 2 1
direct
0.835 0.165 0.680
0.669 0.835 0.320
0.165 0.331 0.320
0.331 0.165 0.680
0.333 0.667 0.953
0.165 0.835 0.320
0.835 0.669 0.680
0.667 0.333 0.047
0.667 0.333 0.363
0.000 0.000 0.000
0.333 0.667 0.637
0.667 0.333 0.802
0.333 0.667 0.198
0.000 0.000 0.500
```

space-group type	No. 164
crystal system	trigonal
total moment	6.00	μB per formula unit
D(E_F)	0.428	states/eV/atom
electronic total energy	-98.092	eV for the cell shown

***

No. 5
Sr2MoWO6: optimized geometry, PBE with a Hubbard U.

```
Sr2MoWO6
1.0
5.787 0.000 -0.007
0.000 5.849 0.000
0.037 0.000 8.078
O W Sr Mo
12 2 4 2
direct
0.784 0.797 0.535
0.798 0.783 0.965
0.298 0.717 0.465
0.566 0.018 0.262
0.434 0.982 0.738
0.716 0.297 0.965
0.216 0.203 0.465
0.202 0.217 0.035
0.066 0.482 0.762
0.934 0.518 0.238
0.702 0.283 0.535
0.284 0.703 0.035
0.000 0.500 0.000
0.500 0.000 0.500
0.507 0.533 0.750
0.007 0.967 0.250
0.493 0.467 0.250
0.993 0.033 0.750
0.000 0.500 0.500
0.500 0.000 0.000
```

space-group type	No. 14
crystal system	monoclinic
total moment	4.00	μB per formula unit
D(E_F)	0.000	states/eV/atom
electronic total energy	-143.128	eV for the cell shown

***

No. 6
SrYMo2O8: optimized geometry, PBE with a Hubbard U.

```
SrYMo2O8
1.0
-5.327 -2.987 -1.667
5.046 -3.652 1.129
-1.279 2.960 5.448
Sr O Mo Y
1 8 2 1
direct
0.000 0.000 0.000
0.851 0.661 0.189
0.943 0.265 0.322
0.339 0.149 0.811
0.735 0.057 0.678
0.943 0.621 0.678
0.339 0.528 0.189
0.379 0.057 0.322
0.472 0.661 0.811
0.750 0.250 0.500
0.500 0.500 0.000
0.250 0.750 0.500
```

space-group type	No. 119
crystal system	tetragonal
total moment	1.00	μB per formula unit
D(E_F)	0.038	states/eV/atom
electronic total energy	-89.213	eV for the cell shown

***

No. 7
Sr2Zn2MoO6: optimized geometry, PBE with a Hubbard U.

```
Sr2Zn2MoO6
1.0
5.960 0.000 0.000
2.980 5.161 0.000
2.980 1.720 5.376
Sr Zn O Mo
2 2 6 1
direct
0.207 0.207 0.379
0.793 0.793 0.621
0.587 0.587 0.239
0.413 0.413 0.761
0.779 0.236 0.748
0.236 0.236 0.748
0.236 0.779 0.748
0.764 0.221 0.252
0.764 0.764 0.252
0.221 0.764 0.252
0.000 0.000 0.000
```

space-group type	No. 166
crystal system	trigonal
total moment	2.00	μB per formula unit
D(E_F)	0.537	states/eV/atom
electronic total energy	-62.878	eV for the cell shown

***

No. 8
SrZnMo2O8: optimized geometry, PBE with a Hubbard U.

```
SrZnMo2O8
1.0
-4.415 1.581 -4.074
-0.613 -5.747 2.277
-0.411 3.936 4.788
Zn Mo O Sr
1 2 8 1
direct
0.000 0.000 0.000
0.500 0.500 0.000
0.750 0.250 0.500
0.854 0.667 0.187
0.333 0.146 0.813
0.480 0.667 0.813
0.908 0.209 0.301
0.333 0.520 0.187
0.791 0.092 0.699
0.908 0.607 0.699
0.393 0.092 0.301
0.250 0.750 0.500
```

space-group type	No. 119
crystal system	tetragonal
total moment	0.00	μB per formula unit
D(E_F)	0.000	states/eV/atom
electronic total energy	-77.903	eV for the cell shown

***

No. 9
SrZr2MoO8: optimized geometry, PBE with a Hubbard U.

```
SrZr2MoO8
1.0
4.969 0.062 -0.004
0.100 4.961 -0.006
0.004 0.007 6.741
Zr O Sr Mo
2 8 1 1
direct
0.500 0.500 0.253
0.500 0.500 0.747
0.671 0.674 0.500
0.802 0.200 0.201
0.715 0.717 0.000
0.802 0.200 0.799
0.198 0.800 0.799
0.198 0.800 0.201
0.329 0.326 0.500
0.285 0.283 0.000
0.000 0.000 0.500
0.000 0.000 0.000
```

space-group type	No. 10
crystal system	monoclinic
total moment	0.00	μB per formula unit
D(E_F)	0.000	states/eV/atom
electronic total energy	-97.062	eV for the cell shown

***

No. 10
Ta2MoO6: optimized geometry, PBE with a Hubbard U.

```
Ta2MoO6
1.0
4.712 0.000 0.000
0.000 4.540 -2.621
0.000 0.000 5.242
Ta O Mo
2 6 1
direct
0.500 0.333 0.667
0.500 0.667 0.333
0.269 0.000 0.653
0.731 0.000 0.347
0.731 0.653 0.653
0.269 0.347 0.347
0.731 0.347 0.000
0.269 0.653 0.000
0.000 0.000 0.000
```

space-group type	No. 162
crystal system	trigonal
total moment	3.98	μB per formula unit
D(E_F)	0.308	states/eV/atom
electronic total energy	-82.072	eV for the cell shown

***

No. 11
Ta2Mo2O7: optimized geometry, PBE with a Hubbard U.

```
Ta2Mo2O7
1.0
-2.861 3.239 2.497
-4.174 -3.034 -0.847
0.944 -2.480 4.227
O Mo Ta
7 2 2
direct
0.500 0.764 0.500
0.000 0.759 0.500
0.500 0.241 0.000
0.000 0.000 0.000
0.500 0.236 0.500
0.500 0.759 0.000
0.000 0.241 0.500
0.226 0.500 0.226
0.774 0.500 0.774
0.724 0.000 0.276
0.276 0.000 0.724
```

space-group type	No. 65
crystal system	orthorhombic
total moment	6.00	μB per formula unit
D(E_F)	0.112	states/eV/atom
electronic total energy	-94.518	eV for the cell shown

***

No. 12
TaMo3O: optimized geometry, PBE with a Hubbard U.

```
TaMo3O
1.0
-0.087 2.764 -3.197
0.145 -3.193 -2.765
-4.223 -0.167 -0.029
Mo Ta O
3 1 1
direct
0.500 0.000 0.000
0.000 0.500 0.000
0.000 0.000 0.500
0.500 0.500 0.500
0.000 0.000 0.000
```

space-group type	No. 221
polymorph energy (0 for the lowest one)	0	meV/atom
crystal system	cubic
total moment	2.56	μB per formula unit
D(E_F)	0.900	states/eV/atom
electronic total energy	-35.247	eV for the cell shown

***

No. 13
Ta2Mo2O11: optimized geometry, PBE with a Hubbard U.

```
Ta2Mo2O11
1.0
-3.636 -7.329 4.828
-2.790 -9.065 -0.549
1.598 -8.836 3.103
Mo O Ta
2 11 2
direct
0.890 0.890 0.890
0.110 0.110 0.110
0.741 0.259 0.259
0.500 0.500 0.000
0.741 0.741 0.259
0.259 0.259 0.741
0.741 0.259 0.741
0.259 0.741 0.741
0.000 0.500 0.500
0.500 0.000 0.500
0.174 0.174 0.174
0.259 0.741 0.259
0.826 0.826 0.826
0.629 0.629 0.629
0.371 0.371 0.371
```

space-group type	No. 166
crystal system	trigonal
total moment	0.00	μB per formula unit
D(E_F)	0.000	states/eV/atom
electronic total energy	-125.050	eV for the cell shown

***

No. 14
TaMo3O: optimized geometry, PBE with a Hubbard U.

```
TaMo3O
1.0
5.126 0.000 0.000
0.000 5.126 0.000
0.000 0.000 5.126
Mo O Ta
3 1 1
direct
0.500 0.000 0.000
0.000 0.000 0.500
0.000 0.500 0.000
0.500 0.500 0.500
0.000 0.000 0.000
```

space-group type	No. 221
polymorph energy (0 for the lowest one)	1948	meV/atom
crystal system	cubic
total moment	9.64	μB per formula unit
D(E_F)	1.064	states/eV/atom
electronic total energy	-25.509	eV for the cell shown

***

No. 15
TaMoO3: optimized geometry, PBE with a Hubbard U.

```
TaMoO3
1.0
4.001 0.000 0.000
0.000 4.001 0.000
0.000 0.000 4.001
O Mo Ta
3 1 1
direct
0.000 0.500 0.000
0.500 0.000 0.000
0.000 0.000 0.500
0.500 0.500 0.500
0.000 0.000 0.000
```

space-group type	No. 221
crystal system	cubic
total moment	4.90	μB per formula unit
D(E_F)	0.390	states/eV/atom
electronic total energy	-42.246	eV for the cell shown

***

No. 16
TaMoO5: optimized geometry, PBE with a Hubbard U.

```
TaMoO5
1.0
-0.840 3.005 -4.287
-5.249 0.429 -0.615
-2.227 6.650 1.991
O Mo Ta
10 2 2
direct
0.274 0.214 0.869
0.858 0.142 0.750
0.786 0.726 0.631
0.333 0.699 0.549
0.699 0.333 0.049
0.667 0.301 0.451
0.142 0.858 0.250
0.301 0.667 0.951
0.726 0.786 0.131
0.214 0.274 0.369
0.000 0.000 0.500
0.000 0.000 0.000
0.473 0.527 0.250
0.527 0.473 0.750
```

space-group type	No. 15
crystal system	monoclinic
total moment	0.99	μB per formula unit
electronic total energy	-118.226	eV for the cell shown

***

No. 17
TaMoO4: optimized geometry, PBE with a Hubbard U.

```
TaMoO4
1.0
3.187 0.000 0.000
0.000 4.849 -0.092
0.000 0.003 4.849
O Ta Mo
4 1 1
direct
0.500 0.684 0.316
0.500 0.316 0.684
0.000 0.790 0.790
0.000 0.210 0.210
0.000 0.500 0.500
0.500 0.000 0.000
```

space-group type	No. 65
crystal system	orthorhombic
total moment	3.00	μB per formula unit
electronic total energy	-52.870	eV for the cell shown

***

No. 18
Ta3MoO: optimized geometry, PBE with a Hubbard U.

```
Ta3MoO
1.0
4.836 0.000 0.000
0.000 4.836 0.000
0.000 0.000 4.836
Ta Mo O
3 1 1
direct
0.000 0.500 0.000
0.000 0.000 0.500
0.500 0.000 0.000
0.000 0.000 0.000
0.500 0.500 0.500
```

space-group type	No. 221
polymorph energy (0 for the lowest one)	2440	meV/atom
crystal system	cubic
total moment	0.00	μB per formula unit
D(E_F)	2.036	states/eV/atom
electronic total energy	-36.610	eV for the cell shown

***

No. 19
Ta3MoO: optimized geometry, PBE with a Hubbard U.

```
Ta3MoO
1.0
4.291 0.000 0.000
0.000 4.291 0.000
0.000 0.000 4.291
Ta Mo O
3 1 1
direct
0.000 0.500 0.000
0.500 0.000 0.000
0.000 0.000 0.500
0.500 0.500 0.500
0.000 0.000 0.000
```

space-group type	No. 221
polymorph energy (0 for the lowest one)	0	meV/atom
crystal system	cubic
total moment	1.99	μB per formula unit
D(E_F)	0.471	states/eV/atom
electronic total energy	-48.808	eV for the cell shown

***

No. 20
TaMoO3: optimized geometry, PBE with a Hubbard U.

```
TaMoO3
1.0
4.006 0.000 0.000
0.000 4.006 0.000
0.000 0.000 4.006
Mo O Ta
1 3 1
direct
0.000 0.000 0.000
0.000 0.500 0.000
0.500 0.000 0.000
0.000 0.000 0.500
0.500 0.500 0.500
```

space-group type	No. 221
crystal system	cubic
total moment	4.99	μB per formula unit
D(E_F)	0.832	states/eV/atom
electronic total energy	-36.233	eV for the cell shown